The following is a DFT calculation (PBE with a Hubbard U) of Gd2NiPtO6 after structural relaxation.

The structure in CIF format:
```
data_Gd2NiPtO6
_chemical_formula_sum 'Gd4 Ni2 Pt2 O12'
_cell_length_a 5.773
_cell_length_b 5.390
_cell_length_c 9.442
_cell_angle_alpha 55.12
_cell_angle_beta 90.00
_cell_angle_gamma 90.00
_symmetry_space_group_name_H-M 'P 1'
_symmetry_Int_Tables_number 1
loop_
_symmetry_equiv_pos_as_xyz
'x,y,z'
loop_
_atom_site_label
_atom_site_type_symbol
_atom_site_fract_x
_atom_site_fract_y
_atom_site_fract_z
O1 O 0.807 0.368 0.942
O2 O 0.198 0.244 0.441
O3 O 0.693 0.368 0.442
O4 O 0.698 0.756 0.059
O5 O 0.957 0.130 0.751
O6 O 0.802 0.756 0.559
Ni1 Ni 0.500 0.500 0.000
O7 O 0.307 0.632 0.558
Pt1 Pt 0.000 0.000 0.000
Gd1 Gd 0.425 0.726 0.251
Gd2 Gd 0.925 0.274 0.249
Gd3 Gd 0.575 0.274 0.749
O8 O 0.457 0.870 0.749
O9 O 0.543 0.130 0.251
O10 O 0.193 0.632 0.058
Ni2 Ni 0.000 0.500 0.500
Pt2 Pt 0.500 0.000 0.500
O11 O 0.302 0.244 0.941
O12 O 0.043 0.870 0.249
Gd4 Gd 0.075 0.726 0.751
```

V = 12.1 Å³ per atom
VASP energy = -8.7915 eV per atom
Symmetry = No. 14